# 1
Density functional theory data (PBE-GGA) for a geometry-optimized Pm4Ga5Pt2 structure.

Summary:
ΔH_f (0 K)   -8.026 eV/f.u.
Total magnetization   0.000 μB per cell

a = 7.248 Å, b = 3.753 Å, c = 9.350 Å
α = 90.00°, β = 93.80°, γ = 90.00°
Space group P2/m (No. 10)
Inequivalent atoms, fractional coordinates:
Pm 0.181 0.000 0.374 x2
Pm 0.250 0.000 0.938 x2
Ga 0.192 0.500 0.658 x2
Ga 0.447 0.500 0.199 x2
Ga 0.500 0.500 0.500 x1
Pt 0.071 0.500 0.145 x2

=====

# 2
Density functional theory data (PBE-GGA) for a geometry-optimized Pm3Ga3Pt8 structure.

Summary:
Relative energy among the computed polymorphs   0.111 eV per atom
ΔH_f (0 K)   -12.001 eV/f.u.
Total magnetization   0.000 μB per cell

a = 4.343 Å, b = 9.789 Å, c = 12.836 Å
α = 90.00°, β = 90.00°, γ = 90.00°
Space group Immm (No. 71)
Inequivalent atoms, fractional coordinates:
Pm 0.000 0.000 0.000 x2
Pm 0.000 0.000 0.298 x4
Ga 0.000 0.240 0.500 x4
Ga 0.000 0.500 0.000 x2
Pt 0.000 0.298 0.114 x8
Pt 0.000 0.362 0.326 x8

=====

# 3
Density functional theory data (PBE-GGA) for a geometry-optimized Pm4GaPt3 structure.

Summary:
ΔH_f (0 K)   -8.223 eV/f.u.
Total magnetization   0.000 μB per cell

a = 3.933 Å, b = 4.483 Å, c = 11.054 Å
α = 90.00°, β = 90.00°, γ = 90.00°
Space group Pmm2 (No. 25)
Inequivalent atoms, fractional coordinates:
Pm 0.000 0.000 0.000 x1
Pm 0.000 0.500 0.269 x1
Pm 0.500 0.000 0.486 x1
Pm 0.500 0.500 0.772 x1
Ga 0.000 0.000 0.706 x1
Pt 0.000 0.500 0.553 x1
Pt 0.500 0.000 0.219 x1
Pt 0.500 0.500 0.044 x1

=====

# 4
Density functional theory data (PBE-GGA) for a geometry-optimized PmGaPt3 structure.

Summary:
Relative energy among the computed polymorphs   0.243 eV per atom
ΔH_f (0 K)   -3.039 eV/f.u.
Total magnetization   0.000 μB per cell

a = 6.308 Å, b = 6.308 Å, c = 5.235 Å
α = 90.00°, β = 90.00°, γ = 90.00°
Space group P4/mbm (No. 127)
Inequivalent atoms, fractional coordinates:
Pm 0.000 0.500 0.000 x2
Ga 0.000 0.000 0.500 x2
Pt 0.000 0.000 0.000 x2
Pt 0.149 0.351 0.500 x4

=====

# 5
Density functional theory data (PBE-GGA) for a geometry-optimized Pm2Ga9Pt3 structure.

Summary:
ΔH_f (0 K)   -9.752 eV/f.u.
Total magnetization   0.000 μB per cell

a = 13.408 Å, b = 7.764 Å, c = 10.602 Å
α = 90.00°, β = 114.70°, γ = 90.00°
Space group C2/c (No. 15)
Inequivalent atoms, fractional coordinates:
Pm 0.168 0.084 0.251 x8
Ga 0.000 0.377 0.250 x4
Ga 0.058 0.083 0.923 x8
Ga 0.102 0.316 0.749 x8
Ga 0.106 0.415 0.068 x8
Ga 0.224 0.417 0.422 x8
Pt 0.085 0.247 0.502 x8
Pt 0.250 0.250 0.000 x4

=====

# 6
Density functional theory data (PBE-GGA) for a geometry-optimized Pm8Ga2Pt structure.

Summary:
Relative energy among the computed polymorphs   0.100 eV per atom
ΔH_f (0 K)   -3.408 eV/f.u.
Total magnetization   0.000 μB per cell

a = 4.951 Å, b = 8.650 Å, c = 14.494 Å
α = 90.00°, β = 90.00°, γ = 90.00°
Space group Immm (No. 71)
Inequivalent atoms, fractional coordinates:
Pm 0.000 0.000 0.126 x4
Pm 0.000 0.220 0.340 x8
Pm 0.000 0.326 0.000 x4
Ga 0.000 0.500 0.195 x4
Pt 0.000 0.500 0.500 x2

=====

# 7
Density functional theory data (PBE-GGA) for a geometry-optimized PmGa2Pt2 structure.

Summary:
ΔH_f (0 K)   -4.849 eV/f.u.
Total magnetization   0.000 μB per cell

a = 4.189 Å, b = 4.189 Å, c = 10.915 Å
α = 90.00°, β = 90.00°, γ = 90.00°
Space group P4/nmm (No. 129, origin choice 2)
Inequivalent atoms, fractional coordinates:
Pm 0.250 0.250 0.247 x2
Ga 0.250 0.250 0.634 x2
Ga 0.250 0.750 0.000 x2
Pt 0.250 0.250 0.863 x2
Pt 0.250 0.750 0.500 x2

=====

# 8
Density functional theory data (PBE-GGA) for a geometry-optimized PmGa2Pt structure.

Summary:
Relative energy among the computed polymorphs   0.000 eV per atom
ΔH_f (0 K)   -3.579 eV/f.u.
Total magnetization   0.000 μB per cell

a = 4.358 Å, b = 16.154 Å, c = 9.239 Å
α = 90.00°, β = 90.00°, γ = 90.00°
Space group Cmcm (No. 63)
Inequivalent atoms, fractional coordinates:
Pm 0.000 0.000 0.000 x4
Pm 0.000 0.199 0.250 x4
Ga 0.000 0.197 0.602 x8
Ga 0.000 0.406 0.250 x4
Ga 0.000 0.437 0.750 x4
Pt 0.000 0.356 0.510 x8

=====

# 9
Density functional theory data (PBE-GGA) for a geometry-optimized Pm5Ga4Pt structure.

Summary:
ΔH_f (0 K)   -6.699 eV/f.u.
Total magnetization   0.000 μB per cell

a = 3.650 Å, b = 3.650 Å, c = 18.288 Å
α = 90.00°, β = 90.00°, γ = 90.00°
Space group P4/mmm (No. 123)
Inequivalent atoms, fractional coordinates:
Pm 0.000 0.000 0.000 x1
Pm 0.000 0.000 0.202 x2
Pm 0.000 0.000 0.406 x2
Ga 0.500 0.500 0.100 x2
Ga 0.500 0.500 0.301 x2
Pt 0.500 0.500 0.500 x1

=====

# 10
Density functional theory data (PBE-GGA) for a geometry-optimized Pm2Ga3Pt structure.

Summary:
Relative energy among the computed polymorphs   0.000 eV per atom
ΔH_f (0 K)   -5.086 eV/f.u.
Total magnetization   0.000 μB per cell

a = 10.526 Å, b = 4.503 Å, c = 7.363 Å
α = 90.00°, β = 132.89°, γ = 90.00°
Space group Cm (No. 8)
Inequivalent atoms, fractional coordinates:
Pm 0.000 0.000 0.000 x2
Pm 0.089 0.000 0.597 x2
Ga 0.200 0.500 0.001 x2
Ga 0.210 0.500 0.403 x2
Ga 0.379 0.000 0.203 x2
Pt 0.376 0.000 0.586 x2

=====

# 11
Density functional theory data (PBE-GGA) for a geometry-optimized Pm2GaPt6 structure.

Summary:
Relative energy among the computed polymorphs   0.404 eV per atom
ΔH_f (0 K)   -5.029 eV/f.u.
Total magnetization   0.000 μB per cell

a = 7.9357 Å, b = 7.9357 Å, c = 3.0676 Å
α = 90.00°, β = 90.00°, γ = 120.00°
Space group P-62m (No. 189)
Inequivalent atoms, fractional coordinates:
Pm 0.3333 0.6667 0.0000 x2
Ga 0.0000 0.0000 0.5000 x1
Pt 0.0000 0.2652 0.0000 x3
Pt 0.0000 0.6457 0.5000 x3

=====

# 12
Density functional theory data (PBE-GGA) for a geometry-optimized Pm2GaPt6 structure.

Summary:
Relative energy among the computed polymorphs   0.000 eV per atom
ΔH_f (0 K)   -8.669 eV/f.u.
Total magnetization   0.000 μB per cell

a = 9.776 Å, b = 5.681 Å, c = 6.322 Å
α = 90.00°, β = 103.80°, γ = 90.00°
Space group C2/m (No. 12)
Inequivalent atoms, fractional coordinates:
Pm 0.145 0.000 0.356 x4
Ga 0.000 0.500 0.500 x2
Pt 0.120 0.500 0.190 x4
Pt 0.134 0.242 0.813 x8

=====

# 13
Density functional theory data (PBE-GGA) for a geometry-optimized PmGa4Pt structure.

Summary:
Relative energy among the computed polymorphs   0.314 eV per atom
ΔH_f (0 K)   -2.217 eV/f.u.
Total magnetization   0.000 μB per cell

a = 4.108 Å, b = 4.108 Å, c = 7.949 Å
α = 90.00°, β = 90.00°, γ = 90.00°
Space group P4/mmm (No. 123)
Inequivalent atoms, fractional coordinates:
Pm 0.000 0.000 0.000 x1
Ga 0.000 0.500 0.299 x4
Pt 0.500 0.500 0.500 x1

=====

# 14
Density functional theory data (PBE-GGA) for a geometry-optimized Pm2Ga2Pt15 structure.

Summary:
ΔH_f (0 K)   -9.563 eV/f.u.
Total magnetization   0.000 μB per cell

a = 9.3369 Å, b = 9.3369 Å, c = 13.4443 Å
α = 90.00°, β = 90.00°, γ = 120.00°
Space group R-3m (No. 166, hexagonal axes)
Inequivalent atoms, fractional coordinates:
Pm 0.0000 0.0000 0.1512 x6
Ga 0.0000 0.0000 0.3997 x6
Pt 0.0000 0.3210 0.5000 x18
Pt 0.0000 0.5000 0.0000 x9
Pt 0.0015 0.5008 0.6616 x18

=====

# 15
Density functional theory data (PBE-GGA) for a geometry-optimized Pm2Ga7Pt12 structure.

Summary:
ΔH_f (0 K)   -16.165 eV/f.u.
Total magnetization   0.000 μB per cell

a = 10.1005 Å, b = 10.1005 Å, c = 4.0931 Å
α = 90.00°, β = 90.00°, γ = 120.00°
Space group P-6 (No. 174)
Inequivalent atoms, fractional coordinates:
Pm 0.0000 0.0000 0.0000 x1
Pm 0.3333 0.6667 0.5000 x1
Ga 0.0462 0.4625 0.0000 x3
Ga 0.2658 0.2449 0.5000 x3
Ga 0.6667 0.3333 0.0000 x1
Pt 0.0274 0.2633 0.5000 x3
Pt 0.1420 0.7441 0.0000 x3
Pt 0.3829 0.1896 0.0000 x3
Pt 0.5570 0.4276 0.5000 x3

=====

# 16
Density functional theory data (PBE-GGA) for a geometry-optimized Pm8Ga2Pt structure.

Summary:
Relative energy among the computed polymorphs   0.000 eV per atom
ΔH_f (0 K)   -4.506 eV/f.u.
Total magnetization   0.000 μB per cell

a = 19.020 Å, b = 5.027 Å, c = 6.818 Å
α = 90.00°, β = 102.62°, γ = 90.00°
Space group C2/m (No. 12)
Inequivalent atoms, fractional coordinates:
Pm 0.023 0.000 0.279 x4
Pm 0.092 0.500 0.960 x4
Pm 0.155 0.500 0.482 x4
Pm 0.211 0.000 0.819 x4
Ga 0.186 0.000 0.254 x4
Pt 0.000 0.500 0.500 x2

=====

# 17
Density functional theory data (PBE-GGA) for a geometry-optimized PmGaPt structure.

Summary:
Relative energy among the computed polymorphs   0.035 eV per atom
ΔH_f (0 K)   -3.074 eV/f.u.
Total magnetization   0.000 μB per cell

a = 7.194 Å, b = 4.310 Å, c = 12.114 Å
α = 90.00°, β = 90.48°, γ = 90.00°
Space group P2_1/m (No. 11)
Inequivalent atoms, fractional coordinates:
Pm 0.014 0.250 0.129 x2
Pm 0.157 0.250 0.422 x2
Pm 0.476 0.750 0.798 x2
Ga 0.146 0.250 0.703 x2
Ga 0.337 0.750 0.047 x2
Ga 0.491 0.750 0.413 x2
Pt 0.228 0.750 0.257 x2
Pt 0.275 0.750 0.592 x2
Pt 0.276 0.250 0.932 x2

=====

# 18
Density functional theory data (PBE-GGA) for a geometry-optimized PmGaPt2 structure.

Summary:
ΔH_f (0 K)   -4.122 eV/f.u.
Total magnetization   0.000 μB per cell

a = 7.481 Å, b = 7.176 Å, c = 5.738 Å
α = 90.00°, β = 90.00°, γ = 90.00°
Space group Pnma (No. 62)
Inequivalent atoms, fractional coordinates:
Pm 0.028 0.250 0.144 x4
Ga 0.118 0.750 0.357 x4
Pt 0.182 0.052 0.586 x8

=====

# 19
Density functional theory data (PBE-GGA) for a geometry-optimized PmGa2Pt5 structure.

Summary:
ΔH_f (0 K)   -6.188 eV/f.u.
Total magnetization   0.000 μB per cell

a = 3.918 Å, b = 7.234 Å, c = 10.031 Å
α = 90.00°, β = 90.00°, γ = 90.00°
Space group Immm (No. 71)
Inequivalent atoms, fractional coordinates:
Pm 0.000 0.000 0.000 x2
Ga 0.000 0.500 0.249 x4
Pt 0.000 0.199 0.359 x8
Pt 0.000 0.500 0.000 x2

=====

# 20
Density functional theory data (PBE-GGA) for a geometry-optimized Pm5Ga2Pt structure.

Summary:
ΔH_f (0 K)   -4.742 eV/f.u.
Total magnetization   0.000 μB per cell

a = 7.567 Å, b = 12.438 Å, c = 4.722 Å
α = 90.00°, β = 90.00°, γ = 90.00°
Space group Pbam (No. 55)
Inequivalent atoms, fractional coordinates:
Pm 0.000 0.000 0.000 x2
Pm 0.151 0.287 0.000 x4
Pm 0.184 0.581 0.500 x4
Ga 0.070 0.833 0.500 x4
Pt 0.000 0.500 0.000 x2